Record 1
DFT (PBE-GGA) results for an optimized crystal structure of Nb2SnO6.

Properties
E_tot	-8.2765	eV/atom
excess energy over the best structure of this formula in the dataset	0	meV per atom
SG	C2/c, No. 15
formation energy without anion corrections	-2.29	eV per atom
M_tot	0.00	μB per cell

The structure in POSCAR format:
```
Nb2SnO6
1.0
-5.822 4.956 -4.842
-8.427 1.111 -3.107
-1.497 3.077 4.569
O Nb Sn
12 4 2
Direct
0.837 0.724 0.853
0.008 0.846 0.092
0.992 0.154 0.908
0.724 0.837 0.353
0.324 0.391 0.418
0.154 0.992 0.408
0.163 0.276 0.147
0.276 0.163 0.647
0.391 0.324 0.918
0.676 0.609 0.582
0.609 0.676 0.082
0.846 0.008 0.592
0.929 0.412 0.826
0.071 0.588 0.174
0.588 0.071 0.674
0.412 0.929 0.326
0.774 0.226 0.250
0.226 0.774 0.750
```



Record 2
DFT (PBE-GGA) results for an optimized crystal structure of NbSnO4.

Properties
E_tot	-7.6466	eV/atom
SG	I4_1md, No. 109
formation energy without anion corrections	-2.00	eV per atom
M_tot	0.00	μB per cell

The structure in POSCAR format:
```
NbSnO4
1.0
-4.453 0.978 3.677
1.607 -5.611 0.488
1.775 -1.266 5.436
Sn Nb O
2 2 8
Direct
0.000 0.750 0.250
0.500 0.000 0.500
0.000 0.255 0.745
0.500 0.505 0.995
0.189 0.677 0.512
0.304 0.260 0.436
0.689 0.738 0.573
0.196 0.206 0.990
0.811 0.299 0.512
0.804 0.814 0.990
0.696 0.260 0.044
0.311 0.738 0.951
```



Record 3
DFT (PBE-GGA) results for an optimized crystal structure of Nb2SnO6.

Properties
E_tot	-8.1720	eV/atom
excess energy over the best structure of this formula in the dataset	104	meV per atom
SG	C2/c, No. 15
formation energy without anion corrections	-2.18	eV per atom
M_tot	0.00	μB per cell

The structure in POSCAR format:
```
Nb2SnO6
1.0
-2.842 -0.443 6.659
2.567 -5.664 4.214
4.915 0.689 5.639
Sn O Nb
2 12 4
Direct
0.250 0.336 0.664
0.750 0.664 0.336
0.543 0.077 0.751
0.020 0.765 0.681
0.783 0.933 0.401
0.283 0.401 0.933
0.717 0.599 0.067
0.217 0.067 0.599
0.457 0.923 0.249
0.520 0.681 0.765
0.480 0.319 0.235
0.980 0.235 0.319
0.957 0.249 0.923
0.043 0.751 0.077
0.203 0.748 0.813
0.797 0.252 0.187
0.703 0.813 0.748
0.297 0.187 0.252
```